First-principles (PBEsol) data for an optimized crystal structure of Bi2Pd, as listed in the Alexandria database.

The structure in CIF format:
```
data_Bi2Pd
_chemical_formula_sum 'Bi4 Pd2'
_symmetry_space_group_name_H-M 'I 4/m m m'
_symmetry_Int_Tables_number 139
_symmetry_space_group_name_Hall '-I 4 2'
_cell_length_a 3.358
_cell_length_b 3.358
_cell_length_c 12.797
_cell_angle_alpha 90.00
_cell_angle_beta 90.00
_cell_angle_gamma 90.00
loop_
_atom_site_label
_atom_site_fract_x
_atom_site_fract_y
_atom_site_fract_z
Bi1 0.000 0.000 0.137
Pd1 0.000 0.000 0.500
```

Properties
- crystal system = tetragonal
- total magnetization (Bohr magnetons per cell) = 0.000
- ΔH_f (0 K) (eV/atom) = -0.238
- E (eV/atom) = -5.081